Er3AlPb2 PBE-GGA optimized geometry; density = 9.6 g/cm³; crystal system = orthorhombic; E = -4.519 eV per atom; DFT formation energy = -2.27 eV/f.u.
1.0
12.3641 0.0000 0.0000
0.0000 4.4407 0.0000
0.0000 0.0000 11.8945
Er Al Pb
12 4 8
Direct
0.0570 0.2500 0.1196
0.1254 0.7500 0.5536
0.2340 0.2500 0.7838
0.2660 0.7500 0.2838
0.3746 0.2500 0.0536
0.4430 0.7500 0.6196
0.5570 0.2500 0.3804
0.6254 0.7500 0.9464
0.7340 0.2500 0.7162
0.7660 0.7500 0.2162
0.8746 0.2500 0.4464
0.9430 0.7500 0.8804
0.1234 0.2500 0.3705
0.3766 0.7500 0.8705
0.6234 0.2500 0.1295
0.8766 0.7500 0.6295
0.0025 0.2500 0.6983
0.1843 0.7500 0.9952
0.3157 0.2500 0.4952
0.4975 0.7500 0.1983
0.5025 0.2500 0.8017
0.6843 0.7500 0.5048
0.8157 0.2500 0.0048
0.9975 0.7500 0.3017


Er4AlPb PBE-GGA optimized geometry; energy relative to the lowest polymorph listed for this composition = 14.5 kJ per mole of atoms; density = 8.0 g/cm³; crystal system = orthorhombic; E = -4.421 eV per atom; DFT formation energy = -0.82 eV/f.u.
1.0
2.6485 -10.9565 0.0000
2.6485 10.9565 0.0000
0.0000 0.0000 6.4277
Er Al Pb
8 2 2
Direct
0.0679 0.9321 0.7500
0.2065 0.7935 0.5082
0.2065 0.7935 0.9918
0.3605 0.6395 0.7500
0.6395 0.3605 0.2500
0.7935 0.2065 0.0082
0.7935 0.2065 0.4918
0.9321 0.0679 0.2500
0.3341 0.6659 0.2500
0.6659 0.3341 0.7500
0.0705 0.9295 0.2500
0.9295 0.0705 0.7500


Er2AlPb PBE-GGA optimized geometry; density = 8.8 g/cm³; crystal system = trigonal; E = -4.414 eV per atom; DFT formation energy = -1.08 eV/f.u.
1.0
1.7823 1.0290 9.7286
-1.7823 1.0290 9.7286
0.0000 -2.0580 9.7286
Er Al Pb
2 1 1
Direct
0.2422 0.2422 0.2422
0.7578 0.7578 0.7578
0.5000 0.5000 0.5000
0.0000 0.0000 0.0000


Er4AlPb PBE-GGA optimized geometry; energy relative to the lowest polymorph listed for this composition = 0.0 kJ per mole of atoms; density = 8.9 g/cm³; crystal system = cubic; E = -4.572 eV per atom; DFT formation energy = -1.73 eV/f.u.
1.0
0.0000 6.9584 6.9584
6.9584 0.0000 6.9584
6.9584 6.9584 0.0000
Er Al Pb
16 4 4
Direct
0.0524 0.0524 0.4476
0.0524 0.4476 0.0524
0.0524 0.4476 0.4476
0.1201 0.6266 0.6266
0.1854 0.1854 0.8146
0.1854 0.8146 0.1854
0.1854 0.8146 0.8146
0.4476 0.0524 0.0524
0.4476 0.0524 0.4476
0.4476 0.4476 0.0524
0.6266 0.1201 0.6266
0.6266 0.6266 0.1201
0.6266 0.6266 0.6266
0.8146 0.1854 0.1854
0.8146 0.1854 0.8146
0.8146 0.8146 0.1854
0.4764 0.8412 0.8412
0.8412 0.4764 0.8412
0.8412 0.8412 0.4764
0.8412 0.8412 0.8412
0.4019 0.4019 0.4019
0.4019 0.4019 0.7943
0.4019 0.7943 0.4019
0.7943 0.4019 0.4019


PrErAlPb PBE-GGA optimized geometry; density = 8.2 g/cm³; crystal system = cubic; E = -4.516 eV per atom; DFT formation energy = -1.27 eV/f.u.
1.0
0.0000 3.8029 3.8029
3.8029 0.0000 3.8029
3.8029 3.8029 0.0000
Pr Er Al Pb
1 1 1 1
Direct
0.0000 0.0000 0.0000
0.5000 0.5000 0.5000
0.7500 0.7500 0.7500
0.2500 0.2500 0.2500


ErAlPbS4 PBE-GGA optimized geometry; density = 5.3 g/cm³; crystal system = monoclinic; E = -5.291 eV per atom
1.0
6.5136 0.0000 0.0000
0.0000 6.6718 0.0000
-2.3118 0.0000 7.6304
Er Al Pb S
2 2 2 8
Direct
0.2188 0.2500 0.0542
0.7812 0.7500 0.9458
0.2416 0.7500 0.8199
0.7584 0.2500 0.1801
0.2535 0.2500 0.5671
0.7465 0.7500 0.4329
0.0035 0.0033 0.7756
0.0035 0.4967 0.7756
0.4469 0.7500 0.6406
0.4548 0.7500 0.0946
0.5452 0.2500 0.9054
0.5531 0.2500 0.3594
0.9965 0.5033 0.2244
0.9965 0.9967 0.2244